VASP calculation (PBE) on a geometry-optimized Li3Hg4Bi structure.

```
Li3Hg4Bi
1.0
4.6361 0.0000 0.0000
0.0000 4.6361 0.0000
0.0000 0.0000 8.0184
Li Hg Bi
3 4 1
Direct
0.0000 0.0000 0.0000
0.0000 0.0000 0.5000
0.5000 0.5000 0.0000
0.0000 0.5000 0.2152
0.0000 0.5000 0.7848
0.5000 0.0000 0.2152
0.5000 0.0000 0.7848
0.5000 0.5000 0.5000
```

Computed properties:
* energy of formation from the pure elements: -0.2663 eV per atom
* energy above the lowest structure with this stoichiometry: 6.0 meV/atom
* total magnetic moment: 0.0 μB/cell
* E: -0.1191 Ry per atom
* volume: 21.54 Å³/atom

***

VASP calculation (PBE) on a geometry-optimized PuThTcRh structure.

```
PuThTcRh
1.0
6.9697 0.0000 0.0000
0.0000 6.9697 0.0000
0.0000 0.0000 6.9697
Pu Th Tc Rh
4 4 4 4
Direct
0.0000 0.0000 0.0000
0.0000 0.5000 0.5000
0.5000 0.0000 0.5000
0.5000 0.5000 0.0000
0.0000 0.0000 0.5000
0.0000 0.5000 0.0000
0.5000 0.0000 0.0000
0.5000 0.5000 0.5000
0.2500 0.2500 0.2500
0.2500 0.7500 0.7500
0.7500 0.2500 0.7500
0.7500 0.7500 0.2500
0.2500 0.2500 0.7500
0.2500 0.7500 0.2500
0.7500 0.2500 0.2500
0.7500 0.7500 0.7500
```

Computed properties:
* energy of formation from the pure elements: -0.2495 eV per atom
* total magnetic moment: 18.5 μB/cell
* E: -0.7436 Ry per atom
* volume: 21.16 Å³/atom

***

VASP calculation (PBE) on a geometry-optimized Rb2BaNbS4 structure.

```
Rb2BaNbS4
1.0
7.7577 0.0000 0.0000
0.0000 7.7577 0.0000
0.0000 0.0000 9.6337
Rb Ba Nb S
4 2 2 8
Direct
0.0000 0.0000 0.0000
0.0000 0.5000 0.2500
0.5000 0.0000 0.7500
0.5000 0.5000 0.5000
0.0000 0.5000 0.7500
0.5000 0.0000 0.2500
0.0000 0.0000 0.5000
0.5000 0.5000 0.0000
0.1834 0.7970 0.6080
0.2030 0.1834 0.3920
0.2970 0.3166 0.8920
0.3166 0.7030 0.1080
0.6834 0.2970 0.1080
0.7030 0.6834 0.8920
0.7970 0.8166 0.3920
0.8166 0.2030 0.6080
```

Computed properties:
* total magnetic moment: 2.0 μB/cell
* formation energy without anion corrections: -1.2276 eV/atom
* E: -0.3699 Ry per atom
* volume: 36.24 Å³/atom

***

VASP calculation (PBE) on a geometry-optimized Y2Be structure.

```
Y2Be
1.0
7.1712 0.0000 0.0000
-3.5856 6.2105 0.0000
0.0000 0.0000 7.0163
Y Be
8 4
Direct
0.0000 0.0000 0.0000
0.0000 0.0000 0.5000
0.1923 0.3846 0.2500
0.1923 0.8077 0.2500
0.3846 0.1923 0.7500
0.6154 0.8077 0.2500
0.8077 0.1923 0.7500
0.8077 0.6154 0.7500
0.3333 0.6667 0.5888
0.3333 0.6667 0.9112
0.6667 0.3333 0.0888
0.6667 0.3333 0.4112
```

Computed properties:
* energy of formation from the pure elements: 0.7989 eV per atom
* energy above the lowest structure with this stoichiometry: 741.5 meV/atom
* total magnetic moment: 0.0 μB/cell
* E: -0.3493 Ry per atom
* volume: 26.04 Å³/atom

***

VASP calculation (PBE) on a geometry-optimized CoRhPb structure.

```
CoRhPb
1.0
6.0097 0.0000 0.0000
0.0000 6.0097 0.0000
0.0000 0.0000 6.0097
Co Rh Pb
4 4 4
Direct
0.0000 0.0000 0.0000
0.0000 0.5000 0.5000
0.5000 0.0000 0.5000
0.5000 0.5000 0.0000
0.2500 0.2500 0.7500
0.2500 0.7500 0.2500
0.7500 0.2500 0.2500
0.7500 0.7500 0.7500
0.2500 0.2500 0.2500
0.2500 0.7500 0.7500
0.7500 0.2500 0.7500
0.7500 0.7500 0.2500
```

Computed properties:
* energy of formation from the pure elements: 0.3377 eV per atom
* energy above the lowest structure with this stoichiometry: 0.0 meV/atom
* total magnetic moment: 7.1 μB/cell
* E: -0.4202 Ry per atom
* volume: 18.09 Å³/atom

***

VASP calculation (PBE) on a geometry-optimized YPOs2Br structure.

```
YPOs2Br
1.0
4.5616 0.0000 0.0000
0.0000 4.5616 0.0000
0.0000 0.0000 5.0750
Y P Os Br
1 1 2 1
Direct
0.0000 0.0000 0.0000
0.5000 0.5000 0.0000
0.0000 0.5000 0.5000
0.5000 0.0000 0.5000
0.5000 0.5000 0.5000
```

Computed properties:
* total magnetic moment: 0.0 μB/cell
* formation energy without anion corrections: 1.4644 eV/atom
* E: -0.4216 Ry per atom
* volume: 21.12 Å³/atom

***

VASP calculation (PBE) on a geometry-optimized TmSc3Ni structure.

```
TmSc3Ni
1.0
5.4417 -3.8519 0.0000
5.4417 3.8519 0.0000
-4.7881 0.0000 5.6405
Tm Sc Ni
2 6 2
Direct
0.0381 0.0381 0.3051
0.9619 0.9619 0.6949
0.0841 0.4835 0.2455
0.4324 0.4324 0.7303
0.4835 0.0841 0.2455
0.5165 0.9159 0.7545
0.5676 0.5676 0.2697
0.9159 0.5165 0.7545
0.2704 0.2704 0.9127
0.7296 0.7296 0.0873
```

Computed properties:
* energy of formation from the pure elements: -0.1283 eV per atom
* energy above the lowest structure with this stoichiometry: 0.0 meV/atom
* total magnetic moment: 0.0 μB/cell
* E: -0.4394 Ry per atom
* volume: 23.65 Å³/atom

***

VASP calculation (PBE) on a geometry-optimized Ga7Sn2 structure.

```
Ga7Sn2
1.0
2.8126 1.6238 14.3429
-2.8126 1.6238 14.3429
0.0000 -3.2477 14.3429
Ga Sn
14 4
Direct
0.0000 0.0000 0.0000
0.0000 0.0000 0.5000
0.0000 0.5000 0.0000
0.1100 0.1100 0.1100
0.1149 0.1149 0.6087
0.1149 0.6087 0.1149
0.2225 0.2225 0.2225
0.3913 0.8851 0.8851
0.5000 0.0000 0.0000
0.6087 0.1149 0.1149
0.7775 0.7775 0.7775
0.8851 0.3913 0.8851
0.8851 0.8851 0.3913
0.8900 0.8900 0.8900
0.3515 0.3515 0.3515
0.4618 0.4618 0.4618
0.5382 0.5382 0.5382
0.6485 0.6485 0.6485
```

Computed properties:
* energy of formation from the pure elements: 0.0765 eV per atom
* energy above the lowest structure with this stoichiometry: 7.5 meV/atom
* total magnetic moment: 0.0 μB/cell
* E: -0.2328 Ry per atom
* volume: 21.84 Å³/atom

***

VASP calculation (PBE) on a geometry-optimized KSr2As structure.

```
KSr2As
1.0
4.0008 0.0000 0.0000
0.0000 4.0008 0.0000
0.0000 0.0000 11.0117
K Sr As
1 2 1
Direct
0.0000 0.0000 0.0000
0.5000 0.5000 0.3518
0.5000 0.5000 0.6482
0.0000 0.0000 0.5000
```

Computed properties:
* energy of formation from the pure elements: -0.5183 eV per atom
* total magnetic moment: 0.0 μB/cell
* E: -0.2055 Ry per atom
* volume: 44.07 Å³/atom

***

VASP calculation (PBE) on a geometry-optimized BaMg2CdIr structure.

```
BaMg2CdIr
1.0
5.0894 0.0000 0.0000
0.0000 5.0894 0.0000
0.0000 0.0000 5.3773
Ba Mg Cd Ir
1 2 1 1
Direct
0.0000 0.0000 0.0000
0.0000 0.5000 0.5000
0.5000 0.0000 0.5000
0.5000 0.5000 0.0000
0.5000 0.5000 0.5000
```

Computed properties:
* energy of formation from the pure elements: -0.2290 eV per atom
* total magnetic moment: 0.0 μB/cell
* E: -0.2357 Ry per atom
* volume: 27.86 Å³/atom

***

VASP calculation (PBE) on a geometry-optimized ZrBeSb structure.

```
ZrBeSb
1.0
6.1249 0.0000 0.0000
0.0000 6.1249 0.0000
0.0000 0.0000 6.1249
Zr Be Sb
4 4 4
Direct
0.0000 0.0000 0.0000
0.0000 0.5000 0.5000
0.5000 0.0000 0.5000
0.5000 0.5000 0.0000
0.2500 0.2500 0.2500
0.2500 0.7500 0.7500
0.7500 0.2500 0.7500
0.7500 0.7500 0.2500
0.0000 0.0000 0.5000
0.0000 0.5000 0.0000
0.5000 0.0000 0.0000
0.5000 0.5000 0.5000
```

Computed properties:
* energy above the lowest structure with this stoichiometry: 288.5 meV/atom
* total magnetic moment: 1.8 μB/cell
* formation energy without anion corrections: 0.1367 eV/atom
* E: -0.3917 Ry per atom
* volume: 19.15 Å³/atom

***

VASP calculation (PBE) on a geometry-optimized LiAc12Pb7 structure.

```
LiAc12Pb7
1.0
7.9695 4.6012 3.5392
-7.9695 4.6012 3.5392
0.0000 -9.2024 3.5392
Li Ac Pb
1 12 7
Direct
0.0000 0.0000 0.0000
0.0302 0.3380 0.2460
0.2080 0.3843 0.6750
0.2460 0.0302 0.3379
0.3250 0.7920 0.6157
0.3379 0.2460 0.0302
0.3843 0.6750 0.2080
0.6157 0.3250 0.7920
0.6620 0.7540 0.9698
0.6750 0.2080 0.3843
0.7540 0.9698 0.6620
0.7920 0.6157 0.3250
0.9698 0.6620 0.7540
0.0121 0.3567 0.8953
0.1047 0.9879 0.6433
0.3567 0.8953 0.0121
0.5000 0.5000 0.5000
0.6433 0.1047 0.9879
0.8953 0.0121 0.3567
0.9879 0.6433 0.1047
```

Computed properties:
* energy of formation from the pure elements: -0.2876 eV per atom
* total magnetic moment: 0.0 μB/cell
* E: -0.3047 Ry per atom
* volume: 38.93 Å³/atom

***

no.,D(E_F) (states/eV per cell)
1,3.40
2,32.92
3,4.40
4,5.04
5,14.76
6,6.03
7,16.09
8,7.19
9,2.74
10,1.95
11,15.72
12,20.14